No. 1
The following is a PBE calculation of a relaxed La2TbAg crystal, from the Alexandria database.

Calculated values
- distance to the lowest polymorph of the same formula (eV/atom) = 0.026
- calculated formation energy (meV/atom) = -95
- uncorrected energy (eV per cell) = -17.7

a b c (Å): 3.800 3.800 8.730
angles (deg): 90.00 90.00 90.00
Space group P4/mmm (No. 123)
Symmetry-distinct sites (fractional):
La 0.000 0.000 0.220
Tb 0.500 0.500 0.500
Ag 0.500 0.500 0.000


No. 2
The following is a PBE calculation of a relaxed LaTbAg4 crystal, from the Alexandria database.

Calculated values
- distance to the lowest polymorph of the same formula (eV/atom) = 0.002
- calculated formation energy (meV/atom) = -257
- uncorrected energy (eV per cell) = -45.0

a b c (Å): 5.415 9.539 5.408
angles (deg): 90.00 90.00 90.00
Space group Cmmm (No. 65)
Symmetry-distinct sites (fractional):
La 0.000 0.000 0.000
Tb 0.000 0.500 0.500
Ag 0.000 0.178 0.500
Ag 0.000 0.331 0.000


No. 3
The following is a PBE calculation of a relaxed LaTbAg2 crystal, from the Alexandria database.

Calculated values
- calculated formation energy (meV/atom) = -290
- uncorrected energy (eV per cell) = -16.4

a b c (Å): 3.695 3.695 7.630
angles (deg): 90.00 90.00 90.00
Space group P4/mmm (No. 123)
Symmetry-distinct sites (fractional):
La 0.000 0.000 0.000
Tb 0.000 0.000 0.500
Ag 0.500 0.500 0.275